(1)
{"formula": "In2Cu2Sb", "functional": "GGA-PBE", "state": "relaxed", "cell": [[7.044, 0.000, 0.000], [0.000, 7.044, 0.000], [0.000, 0.000, 4.153]], "species": ["In", "In", "In", "In", "Cu", "Cu", "Cu", "Cu", "Sb", "Sb"], "fractional_positions": [[0.166, 0.334, 0.000], [0.334, 0.834, 0.000], [0.666, 0.166, 0.000], [0.834, 0.666, 0.000], [0.126, 0.626, 0.500], [0.374, 0.126, 0.500], [0.626, 0.874, 0.500], [0.874, 0.374, 0.500], [0.000, 0.000, 0.500], [0.500, 0.500, 0.500]], "sg": "P4/mbm, No. 127", "dos_ef_per_ev_fu": 2.26, "polymorph_energy_mev_per_atom": 0.0, "formation_energy_uncorrected_ev_per_atom": 0.11, "total_energy_ev_per_atom": -3.445}



(2)
{"formula": "TaGePt", "functional": "GGA-PBE", "state": "relaxed", "cell": [[2.846, 0.000, 0.000], [0.007, 4.838, 0.000], [0.002, 0.013, 7.397]], "species": ["Ta", "Ta", "Ge", "Ge", "Pt", "Pt"], "fractional_positions": [[0.000, 0.250, 0.112], [0.000, 0.750, 0.888], [0.498, 0.251, 0.424], [0.502, 0.749, 0.576], [0.500, 0.250, 0.785], [0.500, 0.750, 0.215]], "sg": "P-1, No. 2", "dos_ef_per_ev_fu": 2.79, "e_form_kj_per_mol_fu": -100, "total_energy_ev_per_atom": -7.848}



(3)
{"formula": "Sc3TiZn4", "functional": "GGA-PBE", "state": "relaxed", "cell": [[3.298, 0.000, 0.000], [0.000, 3.298, 0.000], [0.000, 0.000, 13.202]], "species": ["Sc", "Sc", "Sc", "Ti", "Zn", "Zn", "Zn", "Zn"], "fractional_positions": [[0.000, 0.000, 0.000], [0.000, 0.000, 0.259], [0.000, 0.000, 0.741], [0.000, 0.000, 0.500], [0.500, 0.500, 0.130], [0.500, 0.500, 0.389], [0.500, 0.500, 0.611], [0.500, 0.500, 0.870]], "sg": "P4/mmm, No. 123", "dos_ef_per_ev_fu": 7.89, "e_form_kj_per_mol_fu": -239, "total_energy_ev_per_atom": -4.308}



(4)
{"formula": "Li3MgSn", "functional": "GGA-PBE", "state": "relaxed", "cell": [[5.106, 0.000, 0.000], [0.000, 5.106, 0.000], [0.000, 0.000, 5.106]], "species": ["Li", "Li", "Li", "Mg", "Sn"], "fractional_positions": [[0.000, 0.000, 0.500], [0.000, 0.500, 0.000], [0.500, 0.000, 0.000], [0.500, 0.500, 0.500], [0.000, 0.000, 0.000]], "sg": "Pm-3m, No. 221", "dos_ef_per_ev_fu": 1.22, "e_form_kj_per_mol_fu": 50, "polymorph_energy_mev_per_atom": 363.1, "total_energy_ev_per_atom": -2.164}



(5)
{"formula": "VGaFe4", "functional": "GGA-PBE", "state": "relaxed", "cell": [[4.066, 0.000, 0.000], [0.000, 8.652, 0.000], [0.000, 0.000, 4.095]], "species": ["V", "V", "Ga", "Ga", "Fe", "Fe", "Fe", "Fe", "Fe", "Fe", "Fe", "Fe"], "fractional_positions": [[0.000, 0.000, 0.000], [0.500, 0.500, 0.000], [0.000, 0.500, 0.500], [0.500, 0.000, 0.500], [0.000, 0.173, 0.500], [0.000, 0.330, 0.000], [0.000, 0.670, 0.000], [0.000, 0.827, 0.500], [0.500, 0.170, 0.000], [0.500, 0.327, 0.500], [0.500, 0.673, 0.500], [0.500, 0.830, 0.000]], "sg": "Cmmm, No. 65", "dos_ef_per_ev_fu": 5.99, "e_form_kj_per_mol_fu": -69, "polymorph_energy_mev_per_atom": 1.0, "total_energy_ev_per_atom": -7.786}



(6)
{"formula": "CoCu2H6Pd", "functional": "GGA-PBE", "state": "relaxed", "cell": [[4.121, 0.000, 0.000], [2.057, 4.227, 0.000], [2.051, 0.464, 4.243]], "species": ["Co", "Cu", "Cu", "H", "H", "H", "H", "H", "H", "Pd"], "fractional_positions": [[0.000, 0.000, 0.000], [0.256, 0.051, 0.396], [0.681, 0.611, 0.024], [0.080, 0.766, 0.761], [0.188, 0.754, 0.237], [0.441, 0.968, 0.783], [0.748, 0.808, 0.255], [0.813, 0.238, 0.275], [0.917, 0.325, 0.730], [0.464, 0.364, 0.691]], "sg": "P1, No. 1", "dos_ef_per_ev_fu": 1.95, "total_energy_ev_per_atom": -3.982}



(7)
{"formula": "TlCr2Pt", "functional": "GGA-PBE", "state": "relaxed", "cell": [[3.092, 0.000, 0.000], [-1.546, 2.677, 0.000], [0.000, 0.000, 25.992]], "species": ["Tl", "Tl", "Tl", "Cr", "Cr", "Cr", "Cr", "Cr", "Cr", "Pt", "Pt", "Pt"], "fractional_positions": [[0.000, 0.000, 0.000], [0.333, 0.667, 0.667], [0.667, 0.333, 0.333], [0.000, 0.000, 0.242], [0.000, 0.000, 0.758], [0.333, 0.667, 0.424], [0.333, 0.667, 0.909], [0.667, 0.333, 0.091], [0.667, 0.333, 0.576], [0.000, 0.000, 0.500], [0.333, 0.667, 0.167], [0.667, 0.333, 0.833]], "sg": "R-3m, No. 166", "dos_ef_per_ev_fu": 3.88, "e_form_kj_per_mol_fu": 197, "polymorph_energy_mev_per_atom": 267.1, "total_energy_ev_per_atom": -6.404}



(8)
{"formula": "LiMgCrIr", "functional": "GGA-PBE", "state": "relaxed", "cell": [[5.990, 0.000, 0.000], [0.000, 5.990, 0.000], [0.000, 0.000, 5.990]], "species": ["Li", "Li", "Li", "Li", "Mg", "Mg", "Mg", "Mg", "Cr", "Cr", "Cr", "Cr", "Ir", "Ir", "Ir", "Ir"], "fractional_positions": [[0.000, 0.000, 0.000], [0.000, 0.500, 0.500], [0.500, 0.000, 0.500], [0.500, 0.500, 0.000], [0.250, 0.250, 0.250], [0.250, 0.750, 0.750], [0.750, 0.250, 0.750], [0.750, 0.750, 0.250], [0.000, 0.000, 0.500], [0.000, 0.500, 0.000], [0.500, 0.000, 0.000], [0.500, 0.500, 0.500], [0.250, 0.250, 0.750], [0.250, 0.750, 0.250], [0.750, 0.250, 0.250], [0.750, 0.750, 0.750]], "sg": "F-43m, No. 216", "dos_ef_per_ev_fu": 1.29, "e_form_kj_per_mol_fu": -10, "total_energy_ev_per_atom": -5.525}



(9)
{"formula": "SrLi2Ga2", "functional": "GGA-PBE", "state": "relaxed", "cell": [[8.204, 0.000, 0.000], [0.000, 8.204, 0.000], [0.000, 0.000, 3.308]], "species": ["Sr", "Sr", "Li", "Li", "Li", "Li", "Ga", "Ga", "Ga", "Ga"], "fractional_positions": [[0.000, 0.000, 0.000], [0.500, 0.500, 0.000], [0.171, 0.329, 0.500], [0.329, 0.829, 0.500], [0.671, 0.171, 0.500], [0.829, 0.671, 0.500], [0.115, 0.615, 0.000], [0.385, 0.115, 0.000], [0.615, 0.885, 0.000], [0.885, 0.385, 0.000]], "sg": "P4/mbm, No. 127", "dos_ef_per_ev_fu": 2.21, "e_form_kj_per_mol_fu": -75, "polymorph_energy_mev_per_atom": 155.6, "total_energy_ev_per_atom": -2.469}



(10)
{"formula": "Tb12PrDy6", "functional": "GGA-PBE", "state": "relaxed", "cell": [[7.590, 4.382, 3.289], [-7.590, 4.382, 3.289], [0.000, -8.764, 3.289]], "species": ["Tb", "Tb", "Tb", "Tb", "Tb", "Tb", "Tb", "Tb", "Tb", "Tb", "Tb", "Tb", "Pr", "Dy", "Dy", "Dy", "Dy", "Dy", "Dy"], "fractional_positions": [[0.000, 0.391, 0.609], [0.000, 0.609, 0.391], [0.125, 0.125, 0.337], [0.125, 0.337, 0.125], [0.337, 0.125, 0.125], [0.391, 0.000, 0.609], [0.391, 0.609, 0.000], [0.609, 0.000, 0.391], [0.609, 0.391, 0.000], [0.663, 0.875, 0.875], [0.875, 0.663, 0.875], [0.875, 0.875, 0.663], [0.500, 0.500, 0.500], [0.181, 0.181, 0.749], [0.181, 0.749, 0.181], [0.251, 0.819, 0.819], [0.749, 0.181, 0.181], [0.819, 0.251, 0.819], [0.819, 0.819, 0.251]], "sg": "R-3m, No. 166", "dos_ef_per_ev_fu": 25.01, "e_form_kj_per_mol_fu": 793, "polymorph_energy_mev_per_atom": 280.9, "total_energy_ev_per_atom": -4.197}



(11)
{"formula": "RbCoSn3", "functional": "GGA-PBE", "state": "relaxed", "cell": [[5.142, 0.000, 0.000], [0.000, 5.142, 0.000], [0.000, 0.000, 5.142]], "species": ["Rb", "Co", "Sn", "Sn", "Sn"], "fractional_positions": [[0.000, 0.000, 0.000], [0.500, 0.500, 0.500], [0.000, 0.500, 0.500], [0.500, 0.000, 0.500], [0.500, 0.500, 0.000]], "sg": "Pm-3m, No. 221", "dos_ef_per_ev_fu": 6.54, "e_form_kj_per_mol_fu": 50, "polymorph_energy_mev_per_atom": 0.0, "total_energy_ev_per_atom": -3.914}



(12)
{"formula": "K2BaZrSb", "functional": "GGA-PBE", "state": "relaxed", "cell": [[6.542, 0.000, 0.000], [0.000, 6.542, 0.000], [0.000, 0.000, 5.628]], "species": ["K", "K", "Ba", "Zr", "Sb"], "fractional_positions": [[0.000, 0.500, 0.000], [0.500, 0.000, 0.000], [0.000, 0.000, 0.500], [0.500, 0.500, 0.000], [0.500, 0.500, 0.500]], "sg": "P4/mmm, No. 123", "dos_ef_per_ev_fu": 5.49, "polymorph_energy_mev_per_atom": 0.0, "formation_energy_uncorrected_ev_per_atom": 0.40, "total_energy_ev_per_atom": -2.956}